(1)
# Sr3Cl5 PBE relaxed
data_Sr3Cl5
_cell_length_a 8.498
_cell_length_b 8.498
_cell_length_c 7.450
_cell_angle_alpha 90.00
_cell_angle_beta 90.00
_cell_angle_gamma 120.00
_symmetry_space_group_name_H-M 'P 1'
_symmetry_Int_Tables_number 1
loop_
_symmetry_equiv_pos_as_xyz
'x,y,z'
loop_
_atom_site_label
_atom_site_fract_x
_atom_site_fract_y
_atom_site_fract_z
_atom_site_occupancy
Cl1 0.733 0.733 0.250 1
Cl2 0.000 0.733 0.750 1
Cl3 0.333 0.667 0.500 1
Cl4 0.267 0.267 0.750 1
Cl5 0.267 0.000 0.250 1
Cl6 0.000 0.267 0.250 1
Cl7 0.733 0.000 0.750 1
Cl8 0.667 0.333 0.000 1
Cl9 0.333 0.667 0.000 1
Cl10 0.667 0.333 0.500 1
Sr1 0.611 0.000 0.250 1
Sr2 0.000 0.389 0.750 1
Sr3 0.000 0.611 0.250 1
Sr4 0.389 0.000 0.750 1
Sr5 0.389 0.389 0.250 1
Sr6 0.611 0.611 0.750 1
# - Uncorrected energy: -3.958 eV/atom
# - Symmetry: P6_3/mcm (193)
# - Formation energy without anion corrections: -2.173 eV/atom
# - Energy above the most stable polymorph in this dataset: 0 meV/atom

---

(2)
# SrCl2 PBE relaxed
data_SrCl2
_cell_length_a 6.834
_cell_length_b 6.834
_cell_length_c 6.834
_cell_angle_alpha 148.34
_cell_angle_beta 148.34
_cell_angle_gamma 45.39
_symmetry_space_group_name_H-M 'P 1'
_symmetry_Int_Tables_number 1
loop_
_symmetry_equiv_pos_as_xyz
'x,y,z'
loop_
_atom_site_label
_atom_site_fract_x
_atom_site_fract_y
_atom_site_fract_z
_atom_site_occupancy
Sr1 0.000 0.000 0.000 1
Cl1 0.626 0.626 0.000 1
Cl2 0.374 0.374 0.000 1
# - Uncorrected energy: -4.044 eV/atom
# - Symmetry: I4/mmm (139)
# - Formation energy without anion corrections: -2.253 eV/atom

---

(3)
# Sr3Cl5 PBE relaxed
data_Sr3Cl5
_cell_length_a 7.454
_cell_length_b 7.454
_cell_length_c 4.519
_cell_angle_alpha 90.00
_cell_angle_beta 90.00
_cell_angle_gamma 111.83
_symmetry_space_group_name_H-M 'P 1'
_symmetry_Int_Tables_number 1
loop_
_symmetry_equiv_pos_as_xyz
'x,y,z'
loop_
_atom_site_label
_atom_site_fract_x
_atom_site_fract_y
_atom_site_fract_z
_atom_site_occupancy
Cl1 0.285 0.285 0.500 1
Cl2 0.500 0.000 0.000 1
Cl3 0.000 0.000 0.000 1
Cl4 0.000 0.500 0.000 1
Cl5 0.715 0.715 0.500 1
Sr1 0.838 0.162 0.500 1
Sr2 0.162 0.838 0.500 1
Sr3 0.500 0.500 0.000 1
# - Uncorrected energy: -3.907 eV/atom
# - Symmetry: Cmmm (65)
# - Formation energy without anion corrections: -2.123 eV/atom
# - Energy above the most stable polymorph in this dataset: 51 meV/atom